The following is a PBEsol calculation of a relaxed Hg5Mo crystal, from Alexandria.

Cell and atoms, written as extended XYZ:
```
6
Lattice="2.965 0.000 0.000 -1.483 2.568 0.000 0.000 0.000 16.462" Properties=species:S:1:pos:R:3 pbc="T T T"
Hg 0.000 0.000 0.000
Hg 0.000 0.000 5.876
Hg 0.000 0.000 10.586
Hg 0.000 1.712 3.037
Hg 0.000 1.712 13.425
Mo 0.000 1.712 8.231
```

Summary:
calculated formation energy	305	meV per atom

---

The following is a PBEsol calculation of a relaxed CdInP2 crystal, from Alexandria.

Cell and atoms, written as extended XYZ:
```
4
Lattice="3.346 0.000 0.000 0.000 3.346 0.000 0.000 0.000 7.211" Properties=species:S:1:pos:R:3 pbc="T T T"
Cd 0.000 0.000 0.000
In 1.673 1.673 1.719
P 0.000 0.000 4.694
P 1.673 1.673 4.270
```

Summary:
calculated formation energy	71	meV per atom